## WS3F (PBE with a Hubbard U)

Data for a relaxed WS3F crystal.

Cell: 4.3160 4.3160 4.3160 Å, 90.00 90.00 90.00°
Closest atoms and distances in Å follow each position.
Positions (direct):
S1 0.0000 0.5000 0.0000  2 F 2.16
S2 0.0000 0.0000 0.5000  2 F 2.16
S3 0.5000 0.0000 0.0000  2 F 2.16
W1 0.5000 0.5000 0.5000  12 S 3.05
F1 0.0000 0.0000 0.0000  6 S 2.16

Computed properties:
SG = No. 221
Relative energy among the computed polymorphs = 1184.6 meV/atom